Compound: NdMnZn
Source: Alexandria
Functional: PBE-GGA
Structure: optimized geometry

abc: 3.5630 8.9910 7.8555
angles: 90.00 90.00 90.00
Element x y z (fractional)
Zn 0.7500 0.5955 0.7582
Mn 0.2500 0.0404 0.0615
Mn 0.7500 0.5404 0.4385
Mn 0.2500 0.4596 0.5615
Zn 0.7500 0.9045 0.2582
Zn 0.2500 0.4045 0.2418
Zn 0.2500 0.0955 0.7418
Nd 0.7500 0.3007 0.9413
Mn 0.7500 0.9596 0.9385
Nd 0.2500 0.6993 0.0587
Nd 0.7500 0.1993 0.4413
Nd 0.2500 0.8007 0.5587

Total energy = -4.955 eV/atom
Symmetry = Pnma, No. 62
N(E_F) = 11.351 states/eV/cell
Energy of formation = 116 meV per atom


Compound: CsAsSe4
Source: Alexandria
Functional: PBE-GGA
Structure: optimized geometry

abc: 7.1135 7.6986 9.5500
angles: 123.25 101.63 89.25
Element x y z (fractional)
Se 0.4866 0.9841 0.7706
Se 0.1887 0.8622 0.5616
Cs 0.2605 0.3619 0.0981
As 0.5000 0.0000 0.5000
Se 0.7921 0.4473 0.2065
As 0.0000 0.5000 0.5000
Se 0.6657 0.6593 0.4618
Cs 0.7395 0.6381 0.9019
Se 0.3343 0.3407 0.5382
Se 0.5134 0.0159 0.2294
Se 0.8113 0.1378 0.4384
Se 0.2079 0.5527 0.7935

Total energy = -3.525 eV/atom
Symmetry = P-1, No. 2
Formation energy (no corrections) = -0.285 eV per atom


Compound: Sn2HgSe
Source: Alexandria
Functional: PBE-GGA
Structure: optimized geometry

abc: 6.5246 6.5246 8.0125
angles: 65.97 65.97 90.00
Element x y z (fractional)
Sn 0.3750 0.3733 0.7500
Se 0.2500 0.7500 0.5000
Sn 0.1233 0.6250 0.2500
Hg 0.7500 0.2500 0.5000
Hg 0.0000 0.0000 0.0000
Sn 0.6267 0.1250 0.2500
Sn 0.8750 0.8767 0.7500
Se 0.5000 0.5000 0.0000

Total energy = -2.951 eV/atom
Symmetry = I-42d, No. 122
Energy above the most stable polymorph in this dataset = 109 meV per atom
N(E_F) = 0.705 states/eV/cell
Formation energy (no corrections) = -0.003 eV per atom


Compound: NaScSi
Source: Alexandria
Functional: PBE-GGA
Structure: optimized geometry

abc: 3.3150 11.3335 4.2429
angles: 89.98 90.00 90.23
Element x y z (fractional)
Sc 0.5243 0.2660 0.9313
Si 0.5202 0.0205 0.9316
Si 0.0251 0.3113 0.4313
Na 0.5289 0.5361 0.4344
Na 0.0170 0.7956 0.9341
Sc 0.0209 0.0658 0.4315

Total energy = -4.624 eV/atom
Symmetry = P2_1, No. 4
N(E_F) = 2.591 states/eV/cell
Formation energy (no corrections) = -0.266 eV per atom


Compound: Ca2Zr2Br
Source: Alexandria
Functional: PBE-GGA
Structure: optimized geometry

abc: 9.4466 9.4466 3.6356
angles: 90.00 90.00 90.00
Element x y z (fractional)
Ca 0.6982 0.8018 0.5000
Zr 0.9078 0.5922 0.0000
Zr 0.0922 0.4078 0.0000
Zr 0.4078 0.9078 0.0000
Ca 0.8018 0.3018 0.5000
Br 0.0000 0.0000 0.0000
Ca 0.3018 0.1982 0.5000
Ca 0.1982 0.6982 0.5000
Br 0.5000 0.5000 0.0000
Zr 0.5922 0.0922 0.0000

Total energy = -4.240 eV/atom
Symmetry = P4/mbm, No. 127
Energy above the most stable polymorph in this dataset = 0 meV per atom
N(E_F) = 10.512 states/eV/cell
Formation energy (no corrections) = 0.314 eV per atom


Compound: DyPa2Ga6
Source: Alexandria
Functional: PBE-GGA
Structure: optimized geometry

abc: 4.4484 7.6979 7.6979
angles: 53.30 73.21 73.21
Element x y z (fractional)
Ga 0.6929 0.0078 0.6063
Ga 0.6929 0.6063 0.0078
Ga 0.5000 0.7120 0.2880
Ga 0.3071 0.9922 0.3937
Ga 0.3071 0.3937 0.9922
Dy 0.0000 0.0000 0.0000
Pa 0.8958 0.6042 0.6042
Pa 0.1042 0.3958 0.3958
Ga 0.5000 0.2880 0.7120

Total energy = -4.903 eV/atom
Symmetry = Immm, No. 71
Energy above the most stable polymorph in this dataset = 148 meV per atom
N(E_F) = 7.207 states/eV/cell
Energy of formation = -264 meV per atom


Compound: Te7Cl
Source: Alexandria
Functional: PBE-GGA
Structure: optimized geometry

abc: 6.7636 6.7636 6.7636
angles: 60.00 60.00 60.00
Element x y z (fractional)
Te 0.5000 0.5000 0.5000
Te 0.5000 0.0000 0.5000
Te 0.5000 0.5000 0.0000
Cl 0.0000 0.0000 0.0000
Te 0.0000 0.0000 0.5000
Te 0.5000 0.0000 0.0000
Te 0.0000 0.5000 0.0000
Te 0.0000 0.5000 0.5000

Total energy = -2.638 eV/atom
Symmetry = Fm-3m, No. 225
N(E_F) = 10.122 states/eV/cell
Formation energy (no corrections) = 0.342 eV per atom


Compound: RbSc3P
Source: Alexandria
Functional: PBE-GGA
Structure: optimized geometry

abc: 4.9566 4.9566 4.9566
angles: 90.00 90.00 90.00
Element x y z (fractional)
Sc 0.5000 0.0000 0.0000
P 0.5000 0.5000 0.5000
Sc 0.0000 0.5000 0.0000
Rb 0.0000 0.0000 0.0000
Sc 0.0000 0.0000 0.5000

Total energy = -3.436 eV/atom
Symmetry = Pm-3m, No. 221
Energy above the most stable polymorph in this dataset = 1622 meV per atom
N(E_F) = 3.521 states/eV/cell
Energy of formation = 1638 meV per atom


Compound: RuRh2W
Source: Alexandria
Functional: PBE-GGA
Structure: optimized geometry

abc: 3.2686 3.2686 5.5581
angles: 90.00 90.00 90.00
Element x y z (fractional)
Rh 0.5000 0.5000 0.2510
Ru 0.0000 0.0000 0.5026
W 0.5000 0.5000 0.7492
Rh 0.0000 0.0000 0.9973

Total energy = -9.097 eV/atom
Symmetry = P4mm, No. 99
Energy above the most stable polymorph in this dataset = 319 meV per atom
N(E_F) = 5.327 states/eV/cell
Energy of formation = 136 meV per atom


Compound: PrErBr
Source: Alexandria
Functional: PBE-GGA
Structure: optimized geometry

abc: 5.9048 5.9048 11.0011
angles: 59.46 59.46 35.82
Element x y z (fractional)
Pr 0.1188 0.1188 0.8748
Er 0.2706 0.2706 0.1003
Er 0.4826 0.4826 0.2070
Pr 0.6344 0.6344 0.4325
Br 0.4446 0.4446 0.7776
Br 0.3086 0.3086 0.5297

Total energy = -4.344 eV/atom
Symmetry = C2/m, No. 12
Energy above the most stable polymorph in this dataset = 70 meV per atom
N(E_F) = 5.007 states/eV/cell
Formation energy (no corrections) = -0.672 eV per atom


Compound: Ce2HgMo
Source: Alexandria
Functional: PBE-GGA
Structure: optimized geometry

abc: 3.4543 3.4543 8.1705
angles: 90.00 90.00 90.00
Element x y z (fractional)
Ce 0.0000 0.0000 0.2121
Hg 0.5000 0.5000 0.5000
Mo 0.5000 0.5000 0.0000
Ce 0.0000 0.0000 0.7879

Total energy = -5.746 eV/atom
Symmetry = P4/mmm, No. 123
N(E_F) = 7.269 states/eV/cell
Energy of formation = 5 meV per atom


Compound: NbBSe2
Source: Alexandria
Functional: PBE-GGA
Structure: optimized geometry

abc: 5.6731 5.6731 6.0616
angles: 62.10 62.10 90.00
Element x y z (fractional)
Se 0.8750 0.8027 0.7500
B 0.2500 0.7500 0.5000
Nb 0.0000 0.0000 0.0000
Se 0.5527 0.1250 0.2500
B 0.5000 0.5000 0.0000
Se 0.3750 0.4473 0.7500
Se 0.1973 0.6250 0.2500
Nb 0.7500 0.2500 0.5000

Total energy = -5.618 eV/atom
Symmetry = I-42d, No. 122
N(E_F) = 2.881 states/eV/cell
Formation energy (no corrections) = 0.311 eV per atom